Entry w
TaInFeCo: relaxed, PBE.

Lattice parameters (Å, degrees): 6.2412 6.2412 6.2412 90.00 90.00 90.00
Space group F-43m (No. 216)
Symmetry-distinct sites (fractional):
Ta: 0.0000 0.0000 0.0000 (multiplicity 4)
In: 0.2500 0.2500 0.2500 (multiplicity 4)
Fe: 0.0000 0.0000 0.5000 (multiplicity 4)
Co: 0.2500 0.2500 0.7500 (multiplicity 4)

***

Entry x
TaInFeCo: relaxed, PBE.

Lattice parameters (Å, degrees): 6.2466 6.2466 6.2466 90.00 90.00 90.00
Space group F-43m (No. 216)
Symmetry-distinct sites (fractional):
Ta: 0.0000 0.0000 0.0000 (multiplicity 4)
In: 0.2500 0.2500 0.2500 (multiplicity 4)
Fe: 0.2500 0.2500 0.7500 (multiplicity 4)
Co: 0.0000 0.0000 0.5000 (multiplicity 4)

***

So which one wins? Going from most stable to least: entry x, entry w.

***

Entry w
YInFeCo: relaxed, PBE.

Lattice parameters (Å, degrees): 6.5113 6.5113 6.5113 90.00 90.00 90.00
Space group F-43m (No. 216)
Symmetry-distinct sites (fractional):
Y: 0.0000 0.0000 0.0000 (multiplicity 4)
In: 0.2500 0.2500 0.2500 (multiplicity 4)
Fe: 0.0000 0.0000 0.5000 (multiplicity 4)
Co: 0.2500 0.2500 0.7500 (multiplicity 4)

***

Entry x
YInFeCo: relaxed, PBE.

Lattice parameters (Å, degrees): 6.6119 6.6119 6.6119 90.00 90.00 90.00
Space group F-43m (No. 216)
Symmetry-distinct sites (fractional):
Y: 0.0000 0.0000 0.0000 (multiplicity 4)
In: 0.2500 0.2500 0.2500 (multiplicity 4)
Fe: 0.2500 0.2500 0.7500 (multiplicity 4)
Co: 0.0000 0.0000 0.5000 (multiplicity 4)

***

Entry y
YInFeCo: relaxed, PBE.

Lattice parameters (Å, degrees): 6.5045 6.5045 6.5045 90.00 90.00 90.00
Space group F-43m (No. 216)
Symmetry-distinct sites (fractional):
Y: 0.0000 0.0000 0.0000 (multiplicity 4)
In: 0.0000 0.0000 0.5000 (multiplicity 4)
Fe: 0.2500 0.2500 0.2500 (multiplicity 4)
Co: 0.2500 0.2500 0.7500 (multiplicity 4)

***

So which one wins? Going from most stable to least: entry y, entry x, entry w.

***

Entry w
ZrInFeCo: relaxed, PBE.

Lattice parameters (Å, degrees): 6.4237 6.4237 6.4237 90.00 90.00 90.00
Space group F-43m (No. 216)
Symmetry-distinct sites (fractional):
Zr: 0.0000 0.0000 0.0000 (multiplicity 4)
In: 0.2500 0.2500 0.2500 (multiplicity 4)
Fe: 0.2500 0.2500 0.7500 (multiplicity 4)
Co: 0.0000 0.0000 0.5000 (multiplicity 4)

***

Entry x
ZrInFeCo: relaxed, PBE.

Lattice parameters (Å, degrees): 6.2576 6.2576 6.2576 90.00 90.00 90.00
Space group F-43m (No. 216)
Symmetry-distinct sites (fractional):
Zr: 0.0000 0.0000 0.0000 (multiplicity 4)
In: 0.0000 0.0000 0.5000 (multiplicity 4)
Fe: 0.2500 0.2500 0.2500 (multiplicity 4)
Co: 0.2500 0.2500 0.7500 (multiplicity 4)

***

So which one wins? Going from most stable to least: entry x, entry w.